# Ac5AuSe5, optimized geometry, DFT PBE
# DOS at the Fermi energy	18.15	states/eV/cell
# formation energy without anion corrections	-1.678	eV/atom
data_Ac5AuSe5
_space_group_name_H-M_alt 'C 1 2/m 1'
_space_group_IT_number 12
_space_group_name_Hall '-C 2y'
_cell_length_a 14.295
_cell_length_b 6.325
_cell_length_c 9.084
_cell_angle_alpha 90.00
_cell_angle_beta 108.07
_cell_angle_gamma 90.00
loop_
_atom_site_label
_atom_site_fract_x
_atom_site_fract_y
_atom_site_fract_z
_atom_site_occupancy
Ac1 0.000 0.000 0.000 1
Ac2 0.156 0.500 0.828 1
Ac3 0.164 0.500 0.337 1
Au1 0.000 0.500 0.000 1
Se1 0.000 0.500 0.500 1
Se2 0.176 0.000 0.846 1
Se3 0.180 0.000 0.330 1

=====

# Ac3AuSe2, optimized geometry, DFT PBE
# DOS at the Fermi energy	18.13	states/eV/cell
# formation energy without anion corrections	-1.493	eV/atom
data_Ac3AuSe2
_space_group_name_H-M_alt 'P 1 21/c 1'
_space_group_IT_number 14
_space_group_name_Hall '-P 2ybc'
_cell_length_a 6.367
_cell_length_b 13.505
_cell_length_c 9.138
_cell_angle_alpha 90.00
_cell_angle_beta 90.00
_cell_angle_gamma 90.00
loop_
_atom_site_label
_atom_site_fract_x
_atom_site_fract_y
_atom_site_fract_z
_atom_site_occupancy
Ac1 0.249 0.248 0.365 1
Ac2 0.250 0.578 0.381 1
Ac3 0.250 0.587 0.878 1
Au1 0.250 0.085 0.123 1
Se1 0.250 0.083 0.618 1
Se2 0.251 0.747 0.129 1

=====

# Ac2AuSe4, optimized geometry, DFT PBE
# DOS at the Fermi energy	3.49	states/eV/cell
# formation energy without anion corrections	-1.430	eV/atom
data_Ac2AuSe4
_space_group_name_H-M_alt 'P 1 21/m 1'
_space_group_IT_number 11
_space_group_name_Hall '-P 2yb'
_cell_length_a 7.561
_cell_length_b 6.137
_cell_length_c 8.888
_cell_angle_alpha 90.00
_cell_angle_beta 106.92
_cell_angle_gamma 90.00
loop_
_atom_site_label
_atom_site_fract_x
_atom_site_fract_y
_atom_site_fract_z
_atom_site_occupancy
Ac1 0.232 0.250 0.433 1
Ac2 0.238 0.250 0.933 1
Au1 0.240 0.750 0.684 1
Se1 0.068 0.750 0.898 1
Se2 0.072 0.750 0.386 1
Se3 0.474 0.517 0.242 1

=====

# Ac2AuSe3, optimized geometry, DFT PBE
# DOS at the Fermi energy	3.08	states/eV/cell
# formation energy without anion corrections	-1.462	eV/atom
data_Ac2AuSe3
_space_group_name_H-M_alt 'I m m m'
_space_group_IT_number 71
_space_group_name_Hall '-I 2 2'
_cell_length_a 4.131
_cell_length_b 4.903
_cell_length_c 17.531
_cell_angle_alpha 90.00
_cell_angle_beta 90.00
_cell_angle_gamma 90.00
loop_
_atom_site_label
_atom_site_fract_x
_atom_site_fract_y
_atom_site_fract_z
_atom_site_occupancy
Ac1 0.000 0.000 0.140 1
Au1 0.000 0.000 0.500 1
Se1 0.000 0.000 0.319 1
Se2 0.000 0.500 0.500 1

=====

# AcAuSe2, optimized geometry, DFT PBE
# DOS at the Fermi energy	1.19	states/eV/cell
# formation energy without anion corrections	-0.804	eV/atom
data_AcAuSe2
_space_group_name_H-M_alt 'P 4/m m m'
_space_group_IT_number 123
_space_group_name_Hall '-P 4 2'
_cell_length_a 4.258
_cell_length_b 4.258
_cell_length_c 6.319
_cell_angle_alpha 90.00
_cell_angle_beta 90.00
_cell_angle_gamma 90.00
loop_
_atom_site_label
_atom_site_fract_x
_atom_site_fract_y
_atom_site_fract_z
_atom_site_occupancy
Ac1 0.000 0.000 0.000 1
Au1 0.000 0.000 0.500 1
Se1 0.500 0.500 0.201 1

=====

# AcSnAuSe, optimized geometry, DFT PBE
# DOS at the Fermi energy	9.46	states/eV/cell
# formation energy without anion corrections	-1.006	eV/atom
data_AcSnAuSe
_space_group_name_H-M_alt 'R -3 m'
_space_group_IT_number 166
_space_group_name_Hall '-R 3 2"'
_cell_length_a 4.8045
_cell_length_b 4.8045
_cell_length_c 36.8664
_cell_angle_alpha 90.00
_cell_angle_beta 90.00
_cell_angle_gamma 120.00
loop_
_atom_site_label
_atom_site_fract_x
_atom_site_fract_y
_atom_site_fract_z
_atom_site_occupancy
Ac1 0.0000 0.0000 0.1070 1
Sn1 0.0000 0.0000 0.3005 1
Au1 0.0000 0.0000 0.3786 1
Se1 0.0000 0.0000 0.1962 1

=====

# Ac2TbAuSe5, optimized geometry, DFT PBE
# DOS at the Fermi energy	0.75	states/eV/cell
# formation energy without anion corrections	-1.653	eV/atom
data_Ac2TbAuSe5
_space_group_name_H-M_alt 'C m c 21'
_space_group_IT_number 36
_space_group_name_Hall 'C 2c -2'
_cell_length_a 4.273
_cell_length_b 18.148
_cell_length_c 12.755
_cell_angle_alpha 90.00
_cell_angle_beta 90.00
_cell_angle_gamma 90.00
loop_
_atom_site_label
_atom_site_fract_x
_atom_site_fract_y
_atom_site_fract_z
_atom_site_occupancy
Ac1 0.000 0.116 0.000 1
Ac2 0.000 0.123 0.625 1
Tb1 0.000 0.189 0.321 1
Au1 0.000 0.444 0.765 1
Se1 0.000 0.041 0.379 1
Se2 0.000 0.293 0.977 1
Se3 0.000 0.303 0.662 1
Se4 0.000 0.352 0.315 1
Se5 0.000 0.499 0.079 1

=====

# AcTlAuSe2, optimized geometry, DFT PBE
# DOS at the Fermi energy	2.83	states/eV/cell
# formation energy without anion corrections	-0.898	eV/atom
data_AcTlAuSe2
_space_group_name_H-M_alt 'P 1 2/c 1'
_space_group_IT_number 13
_space_group_name_Hall '-P 2yc'
_cell_length_a 4.783
_cell_length_b 7.469
_cell_length_c 9.502
_cell_angle_alpha 90.00
_cell_angle_beta 117.58
_cell_angle_gamma 90.00
loop_
_atom_site_label
_atom_site_fract_x
_atom_site_fract_y
_atom_site_fract_z
_atom_site_occupancy
Ac1 0.000 0.107 0.250 1
Tl1 0.500 0.282 0.750 1
Au1 0.000 0.500 0.000 1
Se1 0.279 0.204 0.018 1

=====

# Ac2TmAuSe5, optimized geometry, DFT PBE
# DOS at the Fermi energy	0.87	states/eV/cell
# formation energy without anion corrections	-1.643	eV/atom
data_Ac2TmAuSe5
_space_group_name_H-M_alt 'C m c 21'
_space_group_IT_number 36
_space_group_name_Hall 'C 2c -2'
_cell_length_a 4.256
_cell_length_b 18.097
_cell_length_c 12.698
_cell_angle_alpha 90.00
_cell_angle_beta 90.00
_cell_angle_gamma 90.00
loop_
_atom_site_label
_atom_site_fract_x
_atom_site_fract_y
_atom_site_fract_z
_atom_site_occupancy
Ac1 0.000 0.116 0.000 1
Ac2 0.000 0.123 0.624 1
Tm1 0.000 0.190 0.320 1
Au1 0.000 0.443 0.763 1
Se1 0.000 0.043 0.378 1
Se2 0.000 0.293 0.974 1
Se3 0.000 0.302 0.663 1
Se4 0.000 0.350 0.315 1
Se5 0.000 0.499 0.078 1

=====

# Ac4Si3Au, optimized geometry, DFT PBE
# DOS at the Fermi energy	6.88	states/eV/cell
# formation energy without anion corrections	-0.602	eV/atom
data_Ac4Si3Au
_space_group_name_H-M_alt 'P m m 2'
_space_group_IT_number 25
_space_group_name_Hall 'P 2 -2'
_cell_length_a 4.256
_cell_length_b 4.650
_cell_length_c 11.869
_cell_angle_alpha 90.00
_cell_angle_beta 90.00
_cell_angle_gamma 90.00
loop_
_atom_site_label
_atom_site_fract_x
_atom_site_fract_y
_atom_site_fract_z
_atom_site_occupancy
Ac1 0.000 0.000 0.000 1
Ac2 0.000 0.500 0.495 1
Ac3 0.500 0.000 0.716 1
Ac4 0.500 0.500 0.215 1
Si1 0.000 0.000 0.293 1
Si2 0.500 0.000 0.419 1
Si3 0.500 0.500 0.930 1
Au1 0.000 0.500 0.788 1

=====

# Ac2SiAu, optimized geometry, DFT PBE
# DOS at the Fermi energy	4.13	states/eV/cell
# formation energy without anion corrections	-0.570	eV/atom
data_Ac2SiAu
_space_group_name_H-M_alt 'P 4/m m m'
_space_group_IT_number 123
_space_group_name_Hall '-P 4 2'
_cell_length_a 3.911
_cell_length_b 3.911
_cell_length_c 7.642
_cell_angle_alpha 90.00
_cell_angle_beta 90.00
_cell_angle_gamma 90.00
loop_
_atom_site_label
_atom_site_fract_x
_atom_site_fract_y
_atom_site_fract_z
_atom_site_occupancy
Ac1 0.000 0.000 0.239 1
Si1 0.500 0.500 0.000 1
Au1 0.500 0.500 0.500 1

=====

# Ac2SiAu, optimized geometry, DFT PBE
# DOS at the Fermi energy	16.96	states/eV/cell
# formation energy without anion corrections	-0.562	eV/atom
data_Ac2SiAu
_space_group_name_H-M_alt 'F m -3 m'
_space_group_IT_number 225
_space_group_name_Hall '-F 4 2 3'
_cell_length_a 7.781
_cell_length_b 7.781
_cell_length_c 7.781
_cell_angle_alpha 90.00
_cell_angle_beta 90.00
_cell_angle_gamma 90.00
loop_
_atom_site_label
_atom_site_fract_x
_atom_site_fract_y
_atom_site_fract_z
_atom_site_occupancy
Ac1 0.250 0.250 0.250 1
Si1 0.000 0.000 0.000 1
Au1 0.000 0.000 0.500 1